SbPd3N: optimized geometry, PBEsol.

a b c (Å): 4.8866 4.8866 4.8866
angles (deg): 90.00 90.00 90.00
Closest atoms and distances in Å follow each position.
Fractional positions:
Sb 0.0000 0.0000 0.0000  6 Pd 2.44
Pd 0.0000 0.5000 0.0000  2 Sb 2.44
Pd 0.0000 0.0000 0.5000  2 Sb 2.44
Pd 0.5000 0.0000 0.0000  2 Sb 2.44
N 0.5000 0.5000 0.5000  12 Pd 3.46

Summary:
Its calculated volume is 23.3 Å³/atom. Its total energy is -4.537 eV per atom. The space group is Pm-3m, No. 221. For the formation energy from raw total energies, the calculation gives 1.66 eV per atom. The value obtained for the size of the total moment is 1.735 μB per formula unit.